The following is a PBE calculation of an optimized crystal structure of LiPm4Ru3, from Alexandria.

Geometry as POSCAR:
```
LiPm4Ru3
1.0
4.777 0.000 -1.290
-0.343 4.770 -1.270
-0.413 -0.475 7.963
Ru Pm Li
3 4 1
direct
0.000 0.500 0.000 Ru
0.747 0.247 0.494 Ru
0.253 0.753 0.506 Ru
0.370 0.370 0.740 Pm
0.630 0.630 0.260 Pm
0.130 0.130 0.260 Pm
0.870 0.870 0.740 Pm
0.500 0.000 0.000 Li
```

Properties
magnetization	0.0	μB/cell
space group	I4/mmm, No. 139
calculated volume	21.979	Å³ per atom
formation energy from the elements	-1.29	eV per formula unit

***

The following is a PBE calculation of an optimized crystal structure of Tb5Hg2Os, from Alexandria.

Geometry as POSCAR:
```
Tb5Hg2Os
1.0
-0.153 3.782 3.137
-2.170 -4.358 5.148
11.609 -2.109 3.110
Tb Hg Os
10 4 2
direct
0.000 0.000 0.500 Tb
0.000 0.500 0.000 Tb
0.000 0.861 0.207 Tb
0.000 0.139 0.793 Tb
0.000 0.639 0.707 Tb
0.000 0.361 0.293 Tb
0.500 0.674 0.415 Tb
0.500 0.326 0.585 Tb
0.500 0.826 0.915 Tb
0.500 0.174 0.085 Tb
0.500 0.588 0.161 Hg
0.500 0.412 0.839 Hg
0.500 0.912 0.661 Hg
0.500 0.088 0.339 Hg
0.000 0.500 0.500 Os
0.000 0.000 0.000 Os
```

Properties
magnetization	0.0	μB/cell
space group	Pbam, No. 55
calculated volume	26.566	Å³ per atom
formation energy from the elements	-2.83	eV per formula unit

***

The following is a PBE calculation of an optimized crystal structure of CeTm2Tl4, from Alexandria.

Geometry as POSCAR:
```
CeTm2Tl4
1.0
-0.197 4.851 -0.932
-3.479 1.798 -3.017
-7.294 3.457 6.420
Ce Tm Tl
1 2 4
direct
0.000 0.000 0.000 Ce
0.130 0.130 0.611 Tm
0.870 0.870 0.389 Tm
0.385 0.385 0.845 Tl
0.241 0.241 0.277 Tl
0.759 0.759 0.723 Tl
0.615 0.615 0.155 Tl
```

Properties
magnetization	1.0	μB/cell
space group	R-3m, No. 166
calculated volume	29.967	Å³ per atom
formation energy from the elements	-0.41	eV per formula unit

***

The following is a PBE calculation of an optimized crystal structure of Pr4GaNi3, from Alexandria.

Geometry as POSCAR:
```
Pr4GaNi3
1.0
-1.875 -1.210 -3.312
0.725 -4.181 1.117
-9.359 -0.188 5.367
Pr Ga Ni
4 1 3
direct
0.500 0.500 0.370 Pr
0.000 0.500 0.848 Pr
0.000 0.000 0.142 Pr
0.500 0.000 0.636 Pr
0.500 0.500 0.064 Ga
0.000 0.500 0.569 Ni
0.000 0.000 0.441 Ni
0.500 0.000 0.931 Ni
```

Properties
magnetization	0.0	μB/cell
space group	Pmm2, No. 25
calculated volume	23.629	Å³ per atom
formation energy from the elements	-2.77	eV per formula unit

***

The following is a PBE calculation of an optimized crystal structure of GaHg, from Alexandria.

Geometry as POSCAR:
```
GaHg
1.0
-3.205 2.153 -1.494
-2.384 -3.499 0.071
-0.149 0.213 5.561
Hg Ga
2 2
direct
0.617 0.250 0.330 Hg
0.383 0.750 0.670 Hg
0.037 0.250 0.854 Ga
0.963 0.750 0.146 Ga
```

Properties
magnetization	0.0	μB/cell
space group	P2_1/m, No. 11
calculated volume	23.119	Å³ per atom
formation energy from the elements	0.15	eV per formula unit

***

The following is a PBE calculation of an optimized crystal structure of YTm2Si, from Alexandria.

Geometry as POSCAR:
```
YTm2Si
1.0
-2.896 -0.214 1.973
-2.982 -1.228 -1.387
0.769 -10.408 3.121
Y Si Tm
1 1 2
direct
0.000 0.000 0.000 Y
0.500 0.500 0.500 Si
0.106 0.106 0.683 Tm
0.894 0.894 0.317 Tm
```

Properties
magnetization	0.8	μB/cell
space group	R-3m, No. 166
calculated volume	28.563	Å³ per atom
energy	-5.19	eV/atom

***

The following is a PBE calculation of an optimized crystal structure of BiH6Ir, from Alexandria.

Geometry as POSCAR:
```
BiH6Ir
1.0
-1.562 -0.521 4.284
4.054 1.320 1.699
0.097 3.595 2.771
Bi H Ir
1 6 1
direct
0.500 0.500 0.000 Bi
0.662 0.662 0.370 H
0.808 0.154 0.745 H
0.154 0.808 0.745 H
0.192 0.846 0.255 H
0.338 0.338 0.630 H
0.846 0.192 0.255 H
0.000 0.000 0.000 Ir
```

Properties
magnetization	0.0	μB/cell
space group	C2/m, No. 12
calculated volume	8.934	Å³ per atom
energy	-3.96	eV/atom

***

The following is a PBE calculation of an optimized crystal structure of HfVMo, from Alexandria.

Geometry as POSCAR:
```
HfVMo
1.0
-0.129 -0.727 2.866
-3.529 -2.590 -0.817
4.110 -1.695 -0.245
Mo Hf V
1 1 1
direct
0.302 0.333 0.667 Mo
0.649 0.667 0.333 Hf
0.048 0.000 0.000 V
```

Properties
magnetization	0.0	μB/cell
space group	P3m1, No. 156
calculated volume	16.940	Å³ per atom
formation energy from the elements	0.10	eV per formula unit